(1)
DFT (PBE-GGA) results for a geometry-optimized VBRu2 structure.

The value obtained for the magnetization is 0.0 μB/f.u. As for the formation energy: -0.258 eV per atom. The total energy comes out at -8.845 eV/atom. The calculation puts the volume at 11.815 Å³/atom. As for the density of states at the Fermi level: 0.854 states/eV/atom.

It has space group C2/m (No. 12), with a = 10.276 Å, b = 2.834 Å, c = 6.505 Å, α = 90.00°, β = 93.68° and γ = 90.00°. Symmetry generates all atoms from V at (0.131, 0.000, 0.475), B at (0.094, 0.000, 0.046), Ru at (0.030, 0.500, 0.787) and Ru at (0.238, 0.500, 0.189).



(2)
DFT (PBE-GGA) results for a geometry-optimized Si4AgTe structure.

The value obtained for the magnetization is 0.0 μB/f.u. The total energy comes out at -3.995 eV/atom. The calculation puts the volume at 18.297 Å³/atom. The uncorrected formation energy comes out at 0.619 eV per atom. As for the density of states at the Fermi level: 0.828 states/eV/atom.

It has space group F-43m (No. 216), with a = 7.601 Å, b = 7.601 Å, c = 7.601 Å, α = 90.00°, β = 90.00° and γ = 90.00°. Symmetry generates all atoms from Si at (0.123, 0.123, 0.377), Ag at (0.250, 0.250, 0.750) and Te at (0.000, 0.000, 0.000).



(3)
DFT (PBE-GGA) results for a geometry-optimized GaTcI2 structure.

The value obtained for the magnetization is 4.0 μB/f.u. The total energy comes out at -3.394 eV/atom. The calculation puts the volume at 27.416 Å³/atom. The uncorrected formation energy comes out at 0.729 eV per atom. As for the density of states at the Fermi level: 1.255 states/eV/atom. For the energy above the lowest structure with this stoichiometry, the calculation gives 505 meV/atom.

It has space group Fm-3m (No. 225), with a = 7.598 Å, b = 7.598 Å, c = 7.598 Å, α = 90.00°, β = 90.00° and γ = 90.00°. Symmetry generates all atoms from Ga at (0.000, 0.000, 0.000), Tc at (0.000, 0.000, 0.500) and I at (0.250, 0.250, 0.250).



(4)
DFT (PBE-GGA) results for a geometry-optimized Nb3CuBi structure.

The value obtained for the magnetization is 0.0 μB/f.u. As for the formation energy: 0.876 eV per atom. The total energy comes out at -6.761 eV/atom. The calculation puts the volume at 21.175 Å³/atom. As for the density of states at the Fermi level: 1.392 states/eV/atom. For the energy above the lowest structure with this stoichiometry, the calculation gives 0 meV/atom.

It has space group Pm-3m (No. 221), with a = 4.731 Å, b = 4.731 Å, c = 4.731 Å, α = 90.00°, β = 90.00° and γ = 90.00°. Symmetry generates all atoms from Nb at (0.000, 0.000, 0.500), Cu at (0.000, 0.000, 0.000) and Bi at (0.500, 0.500, 0.500).



(5)
DFT (PBE-GGA) results for a geometry-optimized GaSiCl2 structure.

The value obtained for the magnetization is 0.0 μB/f.u. The total energy comes out at -3.011 eV/atom. The calculation puts the volume at 24.524 Å³/atom. The uncorrected formation energy comes out at 0.024 eV per atom. As for the density of states at the Fermi level: 0.615 states/eV/atom. For the energy above the lowest structure with this stoichiometry, the calculation gives 84 meV/atom.

It has space group I-42d (No. 122), with a = 4.765 Å, b = 4.765 Å, c = 17.280 Å, α = 90.00°, β = 90.00° and γ = 90.00°. Symmetry generates all atoms from Ga at (0.000, 0.000, 0.000), Si at (0.000, 0.000, 0.500) and Cl at (0.224, 0.250, 0.625).



(6)
DFT (PBE-GGA) results for a geometry-optimized La3NiGe2 structure.

The value obtained for the magnetization is 0.0 μB/f.u. As for the formation energy: -0.744 eV per atom. The total energy comes out at -5.710 eV/atom. The calculation puts the volume at 26.099 Å³/atom. As for the density of states at the Fermi level: 0.862 states/eV/atom.

It has space group Pnma (No. 62), with a = 12.081 Å, b = 4.378 Å, c = 11.842 Å, α = 90.00°, β = 90.00° and γ = 90.00°. Symmetry generates all atoms from La at (0.059, 0.250, 0.124), La at (0.116, 0.750, 0.555), La at (0.219, 0.250, 0.803), Ni at (0.126, 0.250, 0.364), Ge at (0.024, 0.750, 0.310) and Ge at (0.201, 0.750, 0.994).



(7)
DFT (PBE-GGA) results for a geometry-optimized Nd2GaH structure.

The value obtained for the magnetization is 0.0 μB/f.u. The total energy comes out at -4.478 eV/atom. The calculation puts the volume at 22.433 Å³/atom. As for the density of states at the Fermi level: 0.565 states/eV/atom. For the energy above the lowest structure with this stoichiometry, the calculation gives 0 meV/atom.

It has space group F222 (No. 22), with a = 5.371 Å, b = 5.382 Å, c = 12.415 Å, α = 90.00°, β = 90.00° and γ = 90.00°. Symmetry generates all atoms from Nd at (0.000, 0.000, 0.143), Ga at (0.000, 0.000, 0.500) and H at (0.250, 0.250, 0.750).



(8)
DFT (PBE-GGA) results for a geometry-optimized AcSn2Hg4 structure.

The value obtained for the magnetization is 0.0 μB/f.u. As for the formation energy: -0.233 eV per atom. The total energy comes out at -2.136 eV/atom. The calculation puts the volume at 27.867 Å³/atom. As for the density of states at the Fermi level: 0.395 states/eV/atom. For the energy above the lowest structure with this stoichiometry, the calculation gives 0 meV/atom.

It has space group P-1 (No. 2), with a = 5.005 Å, b = 5.182 Å, c = 8.829 Å, α = 104.38°, β = 92.05° and γ = 116.80°. Symmetry generates all atoms from Ac at (0.000, 0.000, 0.000), Sn at (0.149, 0.281, 0.427), Hg at (0.267, 0.548, 0.805) and Hg at (0.420, 0.834, 0.257).



(9)
DFT (PBE-GGA) results for a geometry-optimized CaCuO2 structure.

The value obtained for the magnetization is 1.0 μB/f.u. The total energy comes out at -5.566 eV/atom. The calculation puts the volume at 14.360 Å³/atom. The uncorrected formation energy comes out at -1.563 eV per atom. As for the density of states at the Fermi level: 0.284 states/eV/atom.

It has space group I-42d (No. 122), with a = 4.692 Å, b = 4.692 Å, c = 10.436 Å, α = 90.00°, β = 90.00° and γ = 90.00°. Symmetry generates all atoms from Ca at (0.000, 0.000, 0.000), Cu at (0.000, 0.000, 0.500) and O at (0.198, 0.250, 0.625).



(10)
DFT (PBE-GGA) results for a geometry-optimized NdSmFe17N3 structure.

The value obtained for the magnetization is 38.9 μB/f.u. The total energy comes out at -8.311 eV/atom. The calculation puts the volume at 12.534 Å³/atom. The uncorrected formation energy comes out at -0.205 eV per atom. As for the density of states at the Fermi level: 0.723 states/eV/atom.

It has space group R3m (No. 160, hexagonal axes), with a = 8.7189 Å, b = 8.7189 Å, c = 12.5656 Å, α = 90.00°, β = 90.00° and γ = 120.00°. Symmetry generates all atoms from Nd at (0.0000, 0.0000, 0.0000), Sm at (0.0000, 0.0000, 0.6881), Fe at (0.0000, 0.0000, 0.2506), Fe at (0.0000, 0.0000, 0.4390), Fe at (0.0004, 0.2827, 0.3446), Fe at (0.0002, 0.5001, 0.8444), Fe at (0.0123, 0.5061, 0.1917), Fe at (0.1722, 0.3444, 0.8310) and N at (0.0031, 0.5016, 0.3448).



(11)
DFT (PBE-GGA) results for a geometry-optimized Ta2CdHg structure.

The value obtained for the magnetization is 0.0 μB/f.u. As for the formation energy: 0.374 eV per atom. The total energy comes out at -5.857 eV/atom. The calculation puts the volume at 19.470 Å³/atom. As for the density of states at the Fermi level: 0.913 states/eV/atom. For the energy above the lowest structure with this stoichiometry, the calculation gives 207 meV/atom.

It has space group C2/m (No. 12), with a = 10.317 Å, b = 3.029 Å, c = 5.075 Å, α = 90.00°, β = 100.77° and γ = 90.00°. Symmetry generates all atoms from Ta at (0.248, 0.000, 0.248), Cd at (0.000, 0.000, 0.500) and Hg at (0.000, 0.500, 0.000).



(12)
DFT (PBE-GGA) results for a geometry-optimized SiTeRh2 structure.

The value obtained for the magnetization is 0.0 μB/f.u. The total energy comes out at -5.747 eV/atom. The calculation puts the volume at 17.809 Å³/atom. The uncorrected formation energy comes out at 0.069 eV per atom. As for the density of states at the Fermi level: 0.907 states/eV/atom. For the energy above the lowest structure with this stoichiometry, the calculation gives 483 meV/atom.

It has space group C2/m (No. 12), with a = 5.761 Å, b = 8.396 Å, c = 4.112 Å, α = 90.00°, β = 134.26° and γ = 90.00°. Symmetry generates all atoms from Si at (0.000, 0.000, 0.000), Te at (0.000, 0.500, 0.000) and Rh at (0.250, 0.250, 0.500).



(13)
DFT (PBE-GGA) results for a geometry-optimized GaAg7Au3 structure.

The value obtained for the magnetization is 0.0 μB/f.u. As for the formation energy: 0.013 eV per atom. The total energy comes out at -2.970 eV/atom. The calculation puts the volume at 18.764 Å³/atom. As for the density of states at the Fermi level: 0.229 states/eV/atom.

It has space group P3m1 (No. 156), with a = 5.8002 Å, b = 5.8002 Å, c = 7.0843 Å, α = 90.00°, β = 90.00° and γ = 120.00°. Symmetry generates all atoms from Ga at (0.0000, 0.0000, 0.0000), Ag at (0.0034, 0.5017, 0.0131), Ag at (0.1670, 0.3340, 0.3472), Ag at (0.6667, 0.3333, 0.3502) and Au at (0.3329, 0.1665, 0.6828).



(14)
DFT (PBE-GGA) results for a geometry-optimized Tl2ZnSb structure.

The value obtained for the magnetization is 0.0 μB/f.u. The total energy comes out at -2.458 eV/atom. The calculation puts the volume at 27.738 Å³/atom. The uncorrected formation energy comes out at 0.074 eV per atom. As for the density of states at the Fermi level: 0.300 states/eV/atom. For the energy above the lowest structure with this stoichiometry, the calculation gives 51 meV/atom.

It has space group Pmm2 (No. 25), with a = 3.421 Å, b = 4.012 Å, c = 8.084 Å, α = 90.00°, β = 90.00° and γ = 90.00°. Symmetry generates all atoms from Tl at (0.000, 0.000, 0.000), Tl at (0.500, 0.500, 0.322), Zn at (0.000, 0.000, 0.559) and Sb at (0.500, 0.500, 0.728).



(15)
DFT (PBE-GGA) results for a geometry-optimized CuNi3H structure.

The value obtained for the magnetization is 1.0 μB/f.u. The total energy comes out at -4.961 eV/atom. The calculation puts the volume at 9.316 Å³/atom. As for the density of states at the Fermi level: 1.020 states/eV/atom. For the energy above the lowest structure with this stoichiometry, the calculation gives 0 meV/atom.

It has space group Pm-3m (No. 221), with a = 3.598 Å, b = 3.598 Å, c = 3.598 Å, α = 90.00°, β = 90.00° and γ = 90.00°. Symmetry generates all atoms from Cu at (0.000, 0.000, 0.000), Ni at (0.000, 0.500, 0.500) and H at (0.500, 0.500, 0.500).



(16)
DFT (PBE-GGA) results for a geometry-optimized Pr2TaGeN5 structure.

The value obtained for the magnetization is 0.0 μB/f.u. The total energy comes out at -8.461 eV/atom. The calculation puts the volume at 13.649 Å³/atom. The uncorrected formation energy comes out at -0.944 eV per atom.

It has space group Cmc2_1 (No. 36), with a = 3.265 Å, b = 14.672 Å, c = 10.257 Å, α = 90.00°, β = 90.00° and γ = 90.00°. Symmetry generates all atoms from Pr at (0.000, 0.112, 0.000), Pr at (0.000, 0.126, 0.616), Ta at (0.000, 0.219, 0.328), Ge at (0.000, 0.449, 0.764), N at (0.000, 0.048, 0.360), N at (0.000, 0.288, 0.959), N at (0.000, 0.319, 0.694), N at (0.000, 0.348, 0.312) and N at (0.000, 0.499, 0.100).



(17)
DFT (PBE-GGA) results for a geometry-optimized RbNb4O6 structure.

The value obtained for the magnetization is 0.0 μB/f.u. The total energy comes out at -8.632 eV/atom. The calculation puts the volume at 13.563 Å³/atom. The uncorrected formation energy comes out at -2.177 eV per atom. As for the density of states at the Fermi level: 0.416 states/eV/atom.

It has space group P4/mmm (No. 123), with a = 4.215 Å, b = 4.215 Å, c = 8.398 Å, α = 90.00°, β = 90.00° and γ = 90.00°. Symmetry generates all atoms from Rb at (0.000, 0.000, 0.000), Nb at (0.000, 0.500, 0.500), Nb at (0.500, 0.500, 0.243), O at (0.000, 0.000, 0.500), O at (0.000, 0.500, 0.249) and O at (0.500, 0.500, 0.000).



(18)
DFT (PBE-GGA) results for a geometry-optimized Ta2Nb3H8 structure.

The value obtained for the magnetization is 0.0 μB/f.u. The total energy comes out at -6.242 eV/atom. The calculation puts the volume at 9.333 Å³/atom. As for the density of states at the Fermi level: 0.417 states/eV/atom.

It has space group P2/m (No. 10), with a = 5.093 Å, b = 3.164 Å, c = 7.744 Å, α = 90.00°, β = 103.49° and γ = 90.00°. Symmetry generates all atoms from Ta at (0.235, 0.000, 0.186), Nb at (0.000, 0.000, 0.500), Nb at (0.260, 0.500, 0.808), H at (0.130, 0.500, 0.344), H at (0.147, 0.000, 0.926), H at (0.353, 0.500, 0.079) and H at (0.375, 0.000, 0.675).



(19)
DFT (PBE-GGA) results for a geometry-optimized Ca4Bi2H structure.

The value obtained for the magnetization is 0.0 μB/f.u. The total energy comes out at -3.454 eV/atom. The calculation puts the volume at 28.293 Å³/atom. As for the density of states at the Fermi level: 0.535 states/eV/atom. For the energy above the lowest structure with this stoichiometry, the calculation gives 30 meV/atom.

It has space group Pnma (No. 62), with a = 9.207 Å, b = 7.031 Å, c = 12.238 Å, α = 90.00°, β = 90.00° and γ = 90.00°. Symmetry generates all atoms from Ca at (0.031, 0.250, 0.094), Ca at (0.170, 0.250, 0.591), Ca at (0.184, 0.501, 0.341), Bi at (0.009, 0.250, 0.832), Bi at (0.118, 0.750, 0.599) and H at (0.215, 0.750, 0.926).



(20)
DFT (PBE-GGA) results for a geometry-optimized Pr3Dy structure.

The value obtained for the magnetization is 0.0 μB/f.u. As for the formation energy: 0.035 eV per atom. The total energy comes out at -4.700 eV/atom. The calculation puts the volume at 35.261 Å³/atom. As for the density of states at the Fermi level: 1.781 states/eV/atom. For the energy above the lowest structure with this stoichiometry, the calculation gives 21 meV/atom.

It has space group Pmm2 (No. 25), with a = 3.701 Å, b = 5.960 Å, c = 6.394 Å, α = 90.00°, β = 90.00° and γ = 90.00°. Symmetry generates all atoms from Pr at (0.000, 0.000, 0.000), Pr at (0.000, 0.500, 0.334), Pr at (0.500, 0.500, 0.833) and Dy at (0.500, 0.000, 0.501).